Entry 1:
Here is a crystal of Li2HfCoSi relaxed with PBEsol from the Alexandria database. Energies are from meta-GGA SCAN.

Cell and atoms, written as extended XYZ:
```
5
Lattice="4.188 0.000 0.000 0.000 4.188 0.000 0.000 0.000 4.199" Properties=species:S:1:pos:R:3 pbc="T T T"
Li 0.000 2.094 0.000
Si 0.000 0.000 0.000
Li 2.094 0.000 0.000
Co 0.000 0.000 2.100
Hf 2.094 2.094 2.100
```

Summary:
Energy relative to the elements, uncorrected ... 0.3859 eV/atom
Final energy ... -18.57 eV/atom

Entry 2:
Here is a crystal of Be3Pt relaxed with PBEsol from the Alexandria database. Energies are from meta-GGA SCAN.

Cell and atoms, written as extended XYZ:
```
8
Lattice="3.872 0.000 0.000 0.000 4.253 0.000 0.000 0.000 4.776" Properties=species:S:1:pos:R:3 pbc="T T T"
Be 0.000 0.682 3.617
Pt 1.936 1.403 2.388
Be 1.936 3.570 3.547
Be 0.000 0.682 1.159
Be 1.936 1.474 0.000
Be 1.936 3.570 1.229
Pt 0.000 2.850 0.000
Be 0.000 2.778 2.388
```

Summary:
Final energy ... -21.49 eV/atom
ΔE_f ... -2.71 eV/f.u.

Number 1: calculated density 6.3 g cm⁻³, D(E_F) 2.546 states/eV/f.u.. Number 2: calculated density 9.4 g cm⁻³, D(E_F) 0.888 states/eV/f.u..